# SmDy3Ga2

A relaxed structure of SmDy3Ga2 (GGA-PBE, Alexandria via LeMat-Bulk).

Geometry as POSCAR:
```
SmDy3Ga2
1.0
5.0891 0.0000 0.0000
-2.5445 8.7682 -0.7064
0.0000 -4.5948 7.5893
Ga Dy Sm
4 6 2
direct
0.2263 0.4526 0.8390 Ga
0.5129 0.0259 0.8759 Ga
0.7737 0.5474 0.1610 Ga
0.4871 0.9741 0.1241 Ga
0.6221 0.2443 0.7335 Dy
0.0631 0.1262 0.4093 Dy
0.3779 0.7557 0.2665 Dy
0.6878 0.3755 0.3818 Dy
0.9369 0.8738 0.5907 Dy
0.3122 0.6245 0.6182 Dy
0.8711 0.7423 0.9313 Sm
0.1289 0.2577 0.0687 Sm
```

The value obtained for the calculated total energy is -4.43 eV/atom. As for the formation energy: -0.3310 eV per atom. The calculation puts the spin magnetization at 0.00 μB/f.u.

# Sm4Dy3Ga4

A relaxed structure of Sm4Dy3Ga4 (GGA-PBE, Alexandria via LeMat-Bulk).

Geometry as POSCAR:
```
Sm4Dy3Ga4
1.0
-2.6767 2.0287 -1.1852
-5.0623 -2.5528 7.0632
7.0603 7.2921 1.8887
Sm Ga Dy
4 4 3
direct
0.6659 0.4869 0.3318 Sm
0.3341 0.5131 0.6682 Sm
0.6659 0.8449 0.3318 Sm
0.3341 0.1551 0.6682 Sm
0.7240 0.2240 0.4480 Ga
0.2760 0.7760 0.5520 Ga
0.5000 0.7769 0.0000 Ga
0.5000 0.2231 0.0000 Ga
0.0938 0.0938 0.1876 Dy
0.9062 0.9062 0.8124 Dy
0.0000 0.5000 0.0000 Dy
```

The value obtained for the calculated total energy is -4.48 eV/atom. As for the formation energy: -0.4121 eV per atom. The calculation puts the spin magnetization at 0.00 μB/f.u.

# SmDy3Ga4

A relaxed structure of SmDy3Ga4 (GGA-PBE, Alexandria via LeMat-Bulk).

Geometry as POSCAR:
```
SmDy3Ga4
1.0
-1.2253 1.4182 4.7196
1.3979 -6.6293 2.3550
9.6543 2.6440 1.7121
Dy Ga Sm
6 8 2
direct
0.0000 0.0000 0.5000 Dy
0.5003 0.0000 0.7500 Dy
0.0000 0.0000 0.0000 Dy
0.5003 0.5000 0.7500 Dy
0.4997 0.0000 0.2500 Dy
0.4997 0.5000 0.2500 Dy
0.5000 0.2455 0.0000 Ga
0.9996 0.2455 0.2500 Ga
0.5000 0.2455 0.5000 Ga
0.0004 0.7545 0.7500 Ga
0.5000 0.7545 0.0000 Ga
0.0004 0.2455 0.7500 Ga
0.5000 0.7545 0.5000 Ga
0.9996 0.7545 0.2500 Ga
0.0000 0.5000 0.0000 Sm
0.0000 0.5000 0.5000 Sm
```

The value obtained for the calculated total energy is -4.41 eV/atom. As for the formation energy: -0.5800 eV per atom. The calculation puts the spin magnetization at 0.00 μB/f.u.

# SmDy2Ga3

A relaxed structure of SmDy2Ga3 (GGA-PBE, Alexandria via LeMat-Bulk).

Geometry as POSCAR:
```
SmDy2Ga3
1.0
6.0666 0.0003 0.0001
0.0005 9.6391 0.0067
-3.0335 -4.8160 5.2908
Ga Dy Sm
6 4 2
direct
0.0000 0.2499 0.0000 Ga
0.0000 0.7501 0.0000 Ga
0.0000 0.5000 0.5000 Ga
0.5000 0.7500 0.0000 Ga
0.0000 0.0000 0.5000 Ga
0.5000 0.2500 0.0000 Ga
0.8339 0.0840 0.1679 Dy
0.1661 0.9160 0.8321 Dy
0.8340 0.5839 0.1678 Dy
0.1660 0.4161 0.8322 Dy
0.5002 0.7500 0.5001 Sm
0.4998 0.2500 0.4999 Sm
```

The value obtained for the calculated total energy is -4.14 eV/atom. As for the formation energy: -0.3019 eV per atom. The calculation puts the spin magnetization at 0.00 μB/f.u.

# Sm2DyGa

A relaxed structure of Sm2DyGa (GGA-PBE, Alexandria via LeMat-Bulk).

Geometry as POSCAR:
```
Sm2DyGa
1.0
-0.4560 0.7805 3.4556
1.9560 -2.8494 0.9017
7.4454 5.0602 -0.1604
Sm Dy Ga
2 1 1
direct
0.0000 0.0000 0.7884 Sm
0.0000 0.0000 0.2116 Sm
0.5000 0.5000 0.5000 Dy
0.5000 0.5000 0.0000 Ga
```

The value obtained for the calculated total energy is -4.51 eV/atom. As for the formation energy: -0.2466 eV per atom. The calculation puts the spin magnetization at 0.00 μB/f.u.

# Sm2DyGa2

A relaxed structure of Sm2DyGa2 (GGA-PBE, Alexandria via LeMat-Bulk).

Geometry as POSCAR:
```
Sm2DyGa2
1.0
-1.9819 -5.0951 0.1351
5.4567 -2.0599 2.3654
-1.6063 3.7443 6.9662
Dy Ga Sm
2 4 4
direct
0.4109 0.0918 0.8218 Dy
0.5891 0.5918 0.1782 Dy
0.6083 0.0733 0.2167 Ga
0.3917 0.5733 0.7833 Ga
0.2312 0.3638 0.4624 Ga
0.7688 0.8638 0.5376 Ga
0.2045 0.8347 0.4089 Sm
0.0459 0.2708 0.0918 Sm
0.9541 0.7708 0.9082 Sm
0.7955 0.3347 0.5911 Sm
```

The value obtained for the calculated total energy is -4.43 eV/atom. As for the formation energy: -0.4156 eV per atom. The calculation puts the spin magnetization at 0.00 μB/f.u.

# Sm5DyGa6

A relaxed structure of Sm5DyGa6 (GGA-PBE, Alexandria via LeMat-Bulk).

Geometry as POSCAR:
```
Sm5DyGa6
1.0
-3.4014 3.8106 -0.5531
-4.3262 -4.4160 -3.8227
-5.2040 -0.2969 6.2321
Sm Ga Dy
5 6 1
direct
0.3338 0.0000 0.3323 Sm
0.6662 0.0000 0.6677 Sm
0.3317 0.5000 0.3366 Sm
0.6683 0.5000 0.6634 Sm
0.0000 0.5000 0.0000 Sm
0.4999 0.7523 0.0000 Ga
0.8351 0.2468 0.3296 Ga
0.1648 0.2468 0.6704 Ga
0.1649 0.7532 0.6704 Ga
0.8352 0.7532 0.3296 Ga
0.5001 0.2477 0.0000 Ga
0.0000 0.0000 0.0000 Dy
```

The value obtained for the calculated total energy is -4.44 eV/atom. As for the formation energy: -0.5731 eV per atom. The calculation puts the spin magnetization at 0.00 μB/f.u.

# SmDyGa4

A relaxed structure of SmDyGa4 (GGA-PBE, Alexandria via LeMat-Bulk).

Geometry as POSCAR:
```
SmDyGa4
1.0
4.2328 0.0000 0.0000
-2.1164 3.6657 0.0000
0.0000 0.0000 8.3258
Sm Ga Dy
1 4 1
direct
0.0000 0.0000 0.5000 Sm
0.3333 0.6667 0.2451 Ga
0.6667 0.3333 0.2451 Ga
0.3333 0.6667 0.7549 Ga
0.6667 0.3333 0.7549 Ga
0.0000 0.0000 0.0000 Dy
```

The value obtained for the calculated total energy is -4.24 eV/atom. As for the formation energy: -0.6637 eV per atom. The calculation puts the spin magnetization at 0.00 μB/f.u.

# SmDy2Ga

A relaxed structure of SmDy2Ga (GGA-PBE, Alexandria via LeMat-Bulk).

Geometry as POSCAR:
```
SmDy2Ga
1.0
4.2600 0.0003 0.0000
-2.1298 6.0068 0.0000
0.0000 0.0000 9.0484
Dy Ga Sm
4 2 2
direct
0.6447 0.2896 0.4439 Dy
0.6447 0.2896 0.0561 Dy
0.3553 0.7104 0.5561 Dy
0.3553 0.7104 0.9439 Dy
0.7477 0.4950 0.7500 Ga
0.2523 0.5050 0.2500 Ga
0.0596 0.1190 0.7500 Sm
0.9404 0.8810 0.2500 Sm
```

The value obtained for the calculated total energy is -4.48 eV/atom. As for the formation energy: -0.2458 eV per atom. The calculation puts the spin magnetization at 0.00 μB/f.u.

# Sm2DyGa

A relaxed structure of Sm2DyGa (GGA-PBE, Alexandria via LeMat-Bulk).

Geometry as POSCAR:
```
Sm2DyGa
1.0
-1.2750 3.1592 -1.3535
-3.6161 -4.8116 -2.8645
-6.5364 0.5217 7.3750
Sm Ga Dy
4 2 2
direct
0.6357 0.2712 0.4530 Sm
0.6357 0.2712 0.0470 Sm
0.3643 0.7288 0.9530 Sm
0.3643 0.7288 0.5470 Sm
0.2563 0.5131 0.2500 Ga
0.7437 0.4869 0.7500 Ga
0.0555 0.1105 0.7500 Dy
0.9445 0.8895 0.2500 Dy
```

The value obtained for the calculated total energy is -4.53 eV/atom. As for the formation energy: -0.2624 eV per atom. The calculation puts the spin magnetization at 0.00 μB/f.u.

# Sm2DyGa

A relaxed structure of Sm2DyGa (GGA-PBE, Alexandria via LeMat-Bulk).

Geometry as POSCAR:
```
Sm2DyGa
1.0
5.3879 0.0000 0.0000
2.6939 4.6660 0.0000
2.6939 1.5553 4.3992
Dy Ga Sm
1 1 2
direct
0.0000 0.0000 0.0000 Dy
0.5000 0.5000 0.5000 Ga
0.7500 0.7500 0.7500 Sm
0.2500 0.2500 0.2500 Sm
```

The value obtained for the calculated total energy is -4.35 eV/atom. As for the formation energy: -0.0872 eV per atom. The calculation puts the spin magnetization at 0.60 μB/f.u.

# SmDy2Ga

A relaxed structure of SmDy2Ga (GGA-PBE, Alexandria via LeMat-Bulk).

Geometry as POSCAR:
```
SmDy2Ga
1.0
3.4978 0.0000 0.0000
1.7489 3.0292 0.0000
1.7489 1.0097 11.3341
Dy Ga Sm
2 1 1
direct
0.1028 0.1028 0.6915 Dy
0.8972 0.8972 0.3085 Dy
0.5000 0.5000 0.5000 Ga
0.0000 0.0000 0.0000 Sm
```

The value obtained for the calculated total energy is -4.25 eV/atom. As for the formation energy: -0.0153 eV per atom. The calculation puts the spin magnetization at 0.00 μB/f.u.